[1]
Here is Rb2MoP at its PBEsol-relaxed geometry from Alexandria via LeMat-Bulk. Energies are from meta-GGA SCAN.

Properties
Final energy, eV per cell: -341.223
DOS at the Fermi energy, states/eV/f.u.: 1.8
Crystal system: tetragonal
Formation enthalpy at 0 K, eV per formula unit: 1.46

a b c (Å): 13.025 13.025 4.667
angles (deg): 90.00 90.00 90.00
Fractional coordinates of all 16 atoms:
Rb  0.050  0.750  0.125
Rb  0.250  0.050  0.875
Rb  0.250  0.450  0.375
Rb  0.450  0.750  0.625
Rb  0.550  0.250  0.625
Rb  0.750  0.550  0.375
Rb  0.750  0.950  0.875
Rb  0.950  0.250  0.125
Mo  0.000  0.000  0.500
Mo  0.000  0.500  0.750
Mo  0.500  0.000  0.250
Mo  0.500  0.500  0.000
P  0.000  0.000  0.000
P  0.000  0.500  0.250
P  0.500  0.000  0.750
P  0.500  0.500  0.500

***

[2]
Here is Rb3MoP at its PBEsol-relaxed geometry from Alexandria via LeMat-Bulk. Energies are from meta-GGA SCAN.

Properties
Final energy, eV per cell: -100.579
DOS at the Fermi energy, states/eV/f.u.: 6.7
Crystal system: cubic
Formation enthalpy at 0 K, eV per formula unit: 6.92

a b c (Å): 6.505 6.505 6.505
angles (deg): 90.00 90.00 90.00
Fractional coordinates of all 5 atoms:
Rb  0.000  0.000  0.500
Rb  0.000  0.500  0.000
Rb  0.500  0.000  0.000
Mo  0.000  0.000  0.000
P  0.500  0.500  0.500

***

[3]
Here is ReMo2P at its PBEsol-relaxed geometry from Alexandria via LeMat-Bulk. Energies are from meta-GGA SCAN.

Properties
Final energy, eV per cell: -151.255
DOS at the Fermi energy, states/eV/f.u.: 2.6
Crystal system: orthorhombic
Formation enthalpy at 0 K, eV per formula unit: 0.01

a b c (Å): 2.880 4.006 4.932
angles (deg): 90.00 90.00 90.00
Fractional coordinates of all 4 atoms:
Re  0.000  0.000  0.000
Mo  0.500  0.500  0.259
Mo  0.500  0.500  0.741
P  0.000  0.000  0.500

***

[4]
Here is ReMo3P at its PBEsol-relaxed geometry from Alexandria via LeMat-Bulk. Energies are from meta-GGA SCAN.

Properties
Final energy, eV per cell: -181.825
DOS at the Fermi energy, states/eV/f.u.: 5.1
Crystal system: cubic
Formation enthalpy at 0 K, eV per formula unit: 4.33

a b c (Å): 4.332 4.332 4.332
angles (deg): 90.00 90.00 90.00
Fractional coordinates of all 5 atoms:
Re  0.000  0.000  0.000
Mo  0.000  0.500  0.500
Mo  0.500  0.000  0.500
Mo  0.500  0.500  0.000
P  0.500  0.500  0.500

***

[5]
Here is ReMoP2 at its PBEsol-relaxed geometry from Alexandria via LeMat-Bulk. Energies are from meta-GGA SCAN.

Properties
Final energy, eV per cell: -255.773
DOS at the Fermi energy, states/eV/f.u.: 2.1
E above lowest polymorph, eV per atom: 0.000
Crystal system: monoclinic
Formation enthalpy at 0 K, eV per formula unit: -1.11

a b c (Å): 8.348 3.029 4.381
angles (deg): 90.00 106.05 90.00
Fractional coordinates of all 8 atoms:
Re  0.000  0.000  0.000
Re  0.500  0.500  0.000
Mo  0.234  0.000  0.604
Mo  0.734  0.500  0.604
P  0.238  0.500  0.136
P  0.494  0.000  0.462
P  0.738  0.000  0.136
P  0.994  0.500  0.462

***

[6]
Here is ReMo2P at its PBEsol-relaxed geometry from Alexandria via LeMat-Bulk. Energies are from meta-GGA SCAN.

Properties
Final energy, eV per cell: -151.122
DOS at the Fermi energy, states/eV/f.u.: 2.6
Crystal system: tetragonal
Formation enthalpy at 0 K, eV per formula unit: 0.14

a b c (Å): 2.878 2.878 6.793
angles (deg): 90.00 90.00 90.00
Fractional coordinates of all 4 atoms:
Re  0.000  0.000  0.000
Mo  0.000  0.000  0.565
Mo  0.500  0.500  0.273
P  0.500  0.500  0.790

***

[7]
Here is ReMoP2 at its PBEsol-relaxed geometry from Alexandria via LeMat-Bulk. Energies are from meta-GGA SCAN.

Properties
Final energy, eV per cell: -509.824
DOS at the Fermi energy, states/eV/f.u.: 2.1
E above lowest polymorph, eV per atom: 0.108
Crystal system: cubic
Formation enthalpy at 0 K, eV per formula unit: -0.68

a b c (Å): 5.902 5.902 5.902
angles (deg): 90.00 90.00 90.00
Fractional coordinates of all 16 atoms:
Re  0.000  0.000  0.000
Re  0.000  0.500  0.500
Re  0.500  0.000  0.500
Re  0.500  0.500  0.000
Mo  0.000  0.000  0.500
Mo  0.000  0.500  0.000
Mo  0.500  0.000  0.000
Mo  0.500  0.500  0.500
P  0.250  0.250  0.250
P  0.250  0.250  0.750
P  0.250  0.750  0.250
P  0.250  0.750  0.750
P  0.750  0.250  0.250
P  0.750  0.250  0.750
P  0.750  0.750  0.250
P  0.750  0.750  0.750

***

[8]
Here is ReMoP at its PBEsol-relaxed geometry from Alexandria via LeMat-Bulk. Energies are from meta-GGA SCAN.

Properties
Final energy, eV per cell: -462.576
DOS at the Fermi energy, states/eV/f.u.: 1.5
Crystal system: cubic
Formation enthalpy at 0 K, eV per formula unit: 0.74

a b c (Å): 5.787 5.787 5.787
angles (deg): 90.00 90.00 90.00
Fractional coordinates of all 12 atoms:
Re  0.000  0.000  0.000
Re  0.000  0.500  0.500
Re  0.500  0.000  0.500
Re  0.500  0.500  0.000
Mo  0.250  0.250  0.750
Mo  0.250  0.750  0.250
Mo  0.750  0.250  0.250
Mo  0.750  0.750  0.750
P  0.000  0.000  0.500
P  0.000  0.500  0.000
P  0.500  0.000  0.000
P  0.500  0.500  0.500